Compound: InReAgOs2
Source: Alexandria via LeMat-Bulk
Functional: GGA-PBE
Structure: optimized geometry

Final energy, eV per atom: -5.116
Mass density, Mg/m³: 11.4
Energy of formation from the pure elements, eV per atom: 2.98
Fermi-level density of states, states/eV per cell: 6.81

The structure in extended XYZ format:
```
5
Lattice="4.844 0.000 0.000 0.000 4.844 0.000 0.000 0.000 4.909" Properties=species:S:1:pos:R:3 pbc="T T T"
In 0.000 0.000 0.000
Re 0.000 0.000 2.454
Ag 2.422 2.422 2.454
Os 0.000 2.422 0.000
Os 2.422 0.000 0.000
```